No. 1
Here is a relaxed Pr10Tm6Mg crystal from the Alexandria database. Energies are from PBE-GGA.

Geometry as POSCAR:
```
Pr10Tm6Mg
1.0
-4.962 4.401 1.873
-5.795 -3.504 -7.117
-0.214 -4.050 8.948
Pr Tm Mg
10 6 1
Direct
0.818 0.732 0.732
0.818 0.000 0.268
0.818 0.268 0.000
0.182 0.268 0.268
0.182 0.000 0.732
0.182 0.732 0.000
0.500 0.333 0.667
0.500 0.667 0.333
0.000 0.667 0.333
0.000 0.333 0.667
0.683 0.369 0.369
0.683 0.000 0.631
0.683 0.631 0.000
0.317 0.631 0.631
0.317 0.000 0.369
0.317 0.369 0.000
0.500 0.000 0.000
```

Summary:
DOS at the Fermi energy: 26.40 states/eV per cell
energy of formation from the pure elements: 0.122 eV/atom

***

No. 2
Here is a relaxed PrTmMg4 crystal from the Alexandria database. Energies are from PBE-GGA.

Geometry as POSCAR:
```
PrTmMg4
1.0
6.073 0.000 0.000
3.037 5.259 0.000
3.037 1.753 4.959
Pr Mg Tm
1 4 1
Direct
0.250 0.250 0.250
0.625 0.625 0.124
0.625 0.124 0.625
0.625 0.625 0.625
0.124 0.625 0.625
0.000 0.000 0.000
```

Summary:
DOS at the Fermi energy: 5.98 states/eV per cell
energy of formation from the pure elements: -0.075 eV/atom
energy relative to the lowest polymorph listed for this composition: 0.000 eV/atom

***

Question: What is the formula in the first record?
Answer: Pr10Tm6Mg

***

Question: Which of these has the lowest energy of formation from the pure elements?
Answer: PrTmMg4

***

Question: energy of formation from the pure elements of number 1 (Pr10Tm6Mg)?
Answer: 0.122 eV/atom

***

Question: What is the energy of formation from the pure elements in the second record?
Answer: -0.075 eV/atom